1.
YBrCl2 at its PBEsol-relaxed geometry. Source: Alexandria, functional SCAN.

Unit cell a=6.079 b=9.515 c=4.234 alpha=90.00 beta=127.98 gamma=90.00
Space group C2/m (No. 12)
Unique sites:
Y (0.000, 0.000, 0.000) [2 per cell]
Br (0.000, 0.500, 0.000) [2 per cell]
Cl (0.250, 0.250, 0.500) [4 per cell]

Results
For the uncorrected energy, the calculation gives -137.59 eV/cell. As for the formation energy (no corrections): -1.38 eV/atom. The value obtained for the density of states at the Fermi level is 0.28 states/eV per atom.


2.
ZnBrCl3 at its PBEsol-relaxed geometry. Source: Alexandria, functional SCAN.

Unit cell a=4.796 b=4.796 c=4.796 alpha=90.00 beta=90.00 gamma=90.00
Space group Pm-3m (No. 221)
Unique sites:
Zn (0.000, 0.000, 0.000) [1 per cell]
Br (0.500, 0.500, 0.500) [1 per cell]
Cl (0.000, 0.000, 0.500) [3 per cell]

Results
For the uncorrected energy, the calculation gives -58.57 eV/cell. As for the formation energy (no corrections): -0.33 eV/atom. The value obtained for the density of states at the Fermi level is 0.35 states/eV per atom.


3.
ZnBrCl2 at its PBEsol-relaxed geometry. Source: Alexandria, functional SCAN.

Unit cell a=3.710 b=3.847 c=6.178 alpha=90.00 beta=90.00 gamma=90.00
Space group Pmmm (No. 47)
Unique sites:
Zn (0.000, 0.000, 0.000) [1 per cell]
Br (0.500, 0.000, 0.500) [1 per cell]
Cl (0.000, 0.500, 0.500) [1 per cell]
Cl (0.500, 0.500, 0.000) [1 per cell]

Results
For the uncorrected energy, the calculation gives -49.00 eV/cell. As for the formation energy (no corrections): -0.02 eV/atom. The value obtained for the density of states at the Fermi level is 0.38 states/eV per atom.


4.
ZnBrCl2 at its PBEsol-relaxed geometry. Source: Alexandria, functional SCAN.

Unit cell a=7.327 b=7.327 c=7.504 alpha=90.00 beta=90.00 gamma=90.00
Space group I-42d (No. 122)
Unique sites:
Zn (0.000, 0.000, 0.000) [4 per cell]
Br (0.000, 0.000, 0.500) [4 per cell]
Cl (0.136, 0.250, 0.125) [8 per cell]

Results
For the uncorrected energy, the calculation gives -204.69 eV/cell. As for the formation energy (no corrections): -0.56 eV/atom. The value obtained for the density of states at the Fermi level is 1.07 states/eV per atom.